Record 1
Entry from Alexandria via LeMat-Bulk: a geometry-optimized TbBr3 structure (PBEsol).

Values from the calculation:
E   -4.456 eV/atom
Fermi-level density of states   0.000 states/eV/atom
Raw formation energy   -1.80 eV/atom
Symmetry   P6_3/mmc, No. 194

Geometry as POSCAR:
```
TbBr3
1.0
3.710 0.000 0.000
0.000 10.002 0.000
0.000 -5.001 8.662
Br Tb
6 2
Cartesian
2.782 5.001 4.987 Br
0.927 0.000 3.675 Br
2.782 6.819 1.838 Br
0.927 -1.818 6.825 Br
0.927 1.818 6.825 Br
2.782 3.183 1.838 Br
2.782 0.000 5.775 Tb
0.927 5.001 2.887 Tb
```

---

Record 2
Entry from Alexandria via LeMat-Bulk: a geometry-optimized AlCSe2 structure (PBEsol).

Values from the calculation:
E   -4.526 eV/atom
Fermi-level density of states   0.431 states/eV/atom
Distance to the lowest polymorph of the same formula   0.016 eV/atom
Raw formation energy   0.83 eV/atom
Symmetry   R-3m, No. 166

Geometry as POSCAR:
```
AlCSe2
1.0
3.846 0.000 0.000
1.923 3.330 0.000
1.923 1.110 6.452
C Se Al
1 2 1
Cartesian
0.000 0.000 0.000 C
1.923 1.110 4.694 Se
5.768 3.330 1.758 Se
3.846 2.220 3.226 Al
```

---

Record 3
Entry from Alexandria via LeMat-Bulk: a geometry-optimized Ca2SiTeI structure (PBEsol).

Values from the calculation:
E   -2.698 eV/atom
Fermi-level density of states   0.906 states/eV/atom
Raw formation energy   0.36 eV/atom
Symmetry   P4/mmm, No. 123

Geometry as POSCAR:
```
Ca2SiTeI
1.0
5.688 0.000 0.000
0.000 5.688 0.000
0.000 0.000 5.936
Ca Si I Te
2 1 1 1
Cartesian
0.000 2.844 0.000 Ca
2.844 0.000 0.000 Ca
2.844 2.844 2.968 Si
0.000 0.000 0.000 I
0.000 0.000 2.968 Te
```

---

Record 4
Entry from Alexandria via LeMat-Bulk: a geometry-optimized TcBr3F structure (PBEsol).

Values from the calculation:
E   -2.911 eV/atom
Fermi-level density of states   0.646 states/eV/atom
Raw formation energy   0.85 eV/atom
Symmetry   Pm-3m, No. 221

Geometry as POSCAR:
```
TcBr3F
1.0
-4.206 -0.794 -2.220
-0.639 -3.987 2.636
-2.270 2.594 3.373
Tc Br F
1 3 1
Cartesian
-3.557 -1.094 1.894 Tc
-0.319 -1.994 1.318 Br
-1.135 1.297 1.686 Br
-2.103 -0.397 -1.110 Br
0.000 0.000 0.000 F
```

---

- Which of these has the highest Fermi-level density of states?
  Ca2SiTeI

---

- Look up the Fermi-level density of states of the second one.
  0.431 states/eV/atom